# 1
Density functional theory data (GGA+U) for an optimized crystal structure of Cs3MnCu2F9.

a b c (Å): 6.070 6.070 7.440
angles (deg): 90.00 90.00 120.00
Positions (direct):
Cs: 0.000 0.000 0.000
Cs: 0.333 0.667 0.668
Cs: 0.667 0.333 0.332
Mn: 0.000 0.000 0.500
Cu: 0.333 0.667 0.161
Cu: 0.667 0.333 0.839
F: 0.000 0.500 0.000
F: 0.168 0.336 0.331
F: 0.168 0.832 0.331
F: 0.336 0.168 0.669
F: 0.500 0.000 0.000
F: 0.500 0.500 0.000
F: 0.664 0.832 0.331
F: 0.832 0.168 0.669
F: 0.832 0.664 0.669

**Crystal system**: trigonal
**N(E_F)**: 5.37 states/eV per cell
**Space-group type**: No. 164

***

# 2
Density functional theory data (GGA+U) for an optimized crystal structure of CsMnCuF6.

a b c (Å): 7.456 7.456 7.456
angles (deg): 122.59 117.05 90.38
Positions (direct):
Cs: 0.371 0.121 0.250
Cs: 0.629 0.879 0.750
Mn: 0.000 0.500 0.500
Mn: 0.500 0.500 0.000
Cu: 0.000 0.000 0.500
Cu: 0.000 0.500 0.000
F: 0.064 0.428 0.253
F: 0.064 0.811 0.637
F: 0.068 0.818 0.250
F: 0.324 0.574 0.750
F: 0.326 0.189 0.753
F: 0.326 0.572 0.137
F: 0.674 0.428 0.863
F: 0.674 0.811 0.247
F: 0.676 0.426 0.250
F: 0.932 0.182 0.750
F: 0.936 0.189 0.363
F: 0.936 0.572 0.747

**Crystal system**: orthorhombic
**N(E_F)**: 10.14 states/eV per cell
**Space-group type**: No. 74

***

# 3
Density functional theory data (GGA+U) for an optimized crystal structure of CsMnCuF6.

a b c (Å): 5.393 5.393 6.472
angles (deg): 91.35 91.35 115.66
Positions (direct):
Cs: 0.000 0.000 0.000
Mn: 0.653 0.347 0.500
Cu: 0.319 0.681 0.500
F: 0.002 0.645 0.340
F: 0.355 0.998 0.660
F: 0.382 0.403 0.330
F: 0.597 0.618 0.670
F: 0.644 0.070 0.318
F: 0.930 0.356 0.682

**Crystal system**: monoclinic
**Space-group type**: No. 5

***

# 4
Density functional theory data (GGA+U) for an optimized crystal structure of CsCuMoF2.

a b c (Å): 4.623 4.623 5.496
angles (deg): 90.00 90.00 90.00
Positions (direct):
Cs: 0.000 0.000 0.000
Cu: 0.000 0.000 0.500
Mo: 0.500 0.500 0.000
F: 0.000 0.500 0.500
F: 0.500 0.000 0.500

**Crystal system**: tetragonal
**N(E_F)**: 0.47 states/eV per cell
**Space-group type**: No. 123

***

Electronic total energy (Ry per atom)
-0.337 -0.360 -0.359 -0.241